The following is a PBE calculation of a relaxed RbTiIn2Cu crystal, from Alexandria.

```
5
Lattice="6.232 0.000 0.000 0.000 6.232 0.000 0.000 0.000 5.595" Properties=species:S:1:pos:R:3 pbc="T T T"
Rb 0.000 0.000 0.000
Ti 0.000 0.000 2.798
In 0.000 3.116 0.000
In 3.116 0.000 0.000
Cu 3.116 3.116 2.798
```

**N(E_F)**: 1.21 states/eV/atom
**Space group**: P4/mmm
**ΔE_f**: 179 kJ per mole of atoms



The following is a PBE calculation of a relaxed LiCa4Nd3Te8 crystal, from Alexandria.

```
16
Lattice="4.476 2.584 7.369 -4.476 2.584 7.369 0.000 -5.169 7.369" Properties=species:S:1:pos:R:3 pbc="T T T"
Li 0.000 0.000 0.000
Ca -4.476 0.000 11.053
Ca -2.238 1.292 3.684
Ca 2.238 1.292 3.684
Ca 0.000 0.000 11.053
Nd -2.238 -1.292 7.369
Nd -2.238 1.292 14.738
Nd 0.000 2.584 7.369
Te -2.277 -1.315 12.908
Te 0.000 -2.629 9.199
Te -2.277 1.315 9.199
Te 0.000 0.000 5.495
Te 0.000 0.000 16.612
Te 2.277 -1.315 12.908
Te 0.000 2.629 12.908
Te 2.277 1.315 9.199
```

**N(E_F)**: 0.26 states/eV/atom
**E_form (uncorrected)**: -1.496 eV per atom
**Space group**: R-3m



The following is a PBE calculation of a relaxed TbZnGaRh crystal, from Alexandria.

```
4
Lattice="0.000 3.269 3.269 3.269 0.000 3.269 3.269 3.269 0.000" Properties=species:S:1:pos:R:3 pbc="T T T"
Tb 0.000 0.000 0.000
Zn 1.634 1.634 1.634
Ga 4.903 4.903 4.903
Rh 3.269 3.269 3.269
```

**N(E_F)**: 0.94 states/eV/atom
**Space group**: F-43m
**ΔE_f**: -51 kJ per mole of atoms



The following is a PBE calculation of a relaxed BaSc2Al2 crystal, from Alexandria.

```
5
Lattice="-2.547 2.547 5.793 2.547 -2.547 5.793 2.547 2.547 -5.793" Properties=species:S:1:pos:R:3 pbc="T T T"
Ba 0.000 0.000 0.000
Sc 0.000 0.000 4.029
Sc 0.000 0.000 7.557
Al 2.547 0.000 2.897
Al 0.000 2.547 2.897
```

**N(E_F)**: 0.93 states/eV/atom
**Space group**: I4/mmm
**ΔE_f**: 7 kJ per mole of atoms



The following is a PBE calculation of a relaxed AgBPt3 crystal, from Alexandria.

```
20
Lattice="5.316 -5.836 0.000 5.316 5.836 0.000 -0.785 0.000 4.778" Properties=species:S:1:pos:R:3 pbc="T T T"
Ag 4.727 5.112 3.584
Ag 5.120 3.705 1.195
Ag 4.727 -3.705 3.584
Ag 5.120 -5.112 1.195
B 3.886 1.745 0.133
B 6.354 1.745 2.256
B 3.494 -1.745 2.522
B 5.961 -1.745 4.645
Pt 2.015 2.391 1.114
Pt 1.889 0.670 3.585
Pt 2.281 -0.670 1.196
Pt 4.271 1.209 2.250
Pt 1.622 -2.391 3.503
Pt 5.969 1.209 0.139
Pt 3.879 -1.209 4.639
Pt 8.225 2.391 1.275
Pt 5.576 -1.209 2.528
Pt 7.566 0.670 3.583
Pt 7.959 -0.670 1.194
Pt 7.833 -2.391 3.664
```

**N(E_F)**: 0.51 states/eV/atom
**Space group**: C2/c
**ΔE_f**: -5 kJ per mole of atoms



The following is a PBE calculation of a relaxed LaBeGe3 crystal, from Alexandria.

```
5
Lattice="4.556 0.000 0.000 0.000 3.292 3.291 0.000 -3.292 3.291" Properties=species:S:1:pos:R:3 pbc="T T T"
La 0.000 0.000 0.000
Be 2.278 0.000 4.271
Ge 0.000 0.000 3.281
Ge 2.278 -1.298 2.147
Ge 2.278 1.298 2.147
```

**N(E_F)**: 0.36 states/eV/atom
**Space group**: Amm2
**ΔE_f**: -23 kJ per mole of atoms



The following is a PBE calculation of a relaxed BaLa crystal, from Alexandria.

```
2
Lattice="0.000 3.541 3.541 3.541 0.000 3.541 3.541 3.541 0.000" Properties=species:S:1:pos:R:3 pbc="T T T"
Ba 0.000 0.000 0.000
La 5.312 5.312 5.312
```

**N(E_F)**: 1.55 states/eV/atom
**Space group**: F-43m
**ΔE_f**: 117 kJ per mole of atoms



The following is a PBE calculation of a relaxed PaSe3O9 crystal, from Alexandria.

```
26
Lattice="8.922 -2.864 0.000 8.922 2.864 0.000 -7.207 0.000 8.829" Properties=species:S:1:pos:R:3 pbc="T T T"
Pa 5.319 1.849 4.414
Pa 8.922 -1.849 0.000
Se -3.462 0.319 8.055
Se 2.103 1.015 6.277
Se 0.142 -0.319 3.641
Se 5.706 -1.015 1.863
Se 11.133 0.217 2.580
Se 7.529 -0.217 6.994
O 9.071 2.284 0.985
O 0.173 0.137 5.315
O 7.488 1.930 3.641
O 3.776 -0.137 0.901
O 3.806 1.015 6.178
O 5.380 0.040 3.221
O 1.777 -0.040 7.636
O 6.478 0.835 6.191
O 10.006 0.964 3.862
O 7.409 -1.015 1.764
O 8.291 0.809 8.125
O 10.081 -0.835 1.776
O 14.117 0.348 2.456
O 6.403 -0.964 8.277
O 3.885 -1.930 8.055
O 5.467 -2.284 5.399
O 10.514 -0.348 6.870
O 11.895 -0.809 3.710
```

**E_form (uncorrected)**: -1.361 eV per atom
**Space group**: Cc



The following is a PBE calculation of a relaxed PmH6Pt2Rh crystal, from Alexandria.

```
10
Lattice="4.199 -2.402 0.000 4.199 2.402 0.000 -2.736 0.000 4.831" Properties=species:S:1:pos:R:3 pbc="T T T"
Pm 0.000 0.000 0.000
H 2.208 1.045 1.071
H 1.619 0.000 3.762
H 3.453 1.045 3.760
H 2.208 -1.045 1.071
H 4.042 0.000 1.069
H 3.453 -1.045 3.760
Pt 0.046 0.000 3.082
Pt 5.616 0.000 1.750
Rh 2.831 0.000 2.416
```

**N(E_F)**: 0.27 states/eV/atom
**Space group**: C2/m



The following is a PBE calculation of a relaxed Nb2ZnHPt crystal, from Alexandria.

```
5
Lattice="4.125 0.000 0.000 0.000 4.125 0.000 0.000 0.000 4.037" Properties=species:S:1:pos:R:3 pbc="T T T"
Nb 0.000 2.063 0.000
Nb 2.063 0.000 0.000
Zn 0.000 0.000 2.018
H 2.063 2.063 0.000
Pt 2.063 2.063 2.018
```

**N(E_F)**: 0.53 states/eV/atom
**Space group**: P4/mmm



The following is a PBE calculation of a relaxed NdSmGaRh crystal, from Alexandria.

```
4
Lattice="3.949 0.000 0.000 0.000 2.195 5.600 0.000 -2.195 5.600" Properties=species:S:1:pos:R:3 pbc="T T T"
Nd 0.000 0.000 0.000
Sm 1.975 0.000 3.199
Ga 1.975 0.000 6.543
Rh 0.000 0.000 8.247
```

**N(E_F)**: 0.85 states/eV/atom
**Space group**: Amm2
**ΔE_f**: -64 kJ per mole of atoms



The following is a PBE calculation of a relaxed Ac6Ir2SeS3 crystal, from Alexandria.

```
12
Lattice="9.643 -2.159 0.000 9.643 2.159 0.000 -2.322 0.000 8.706" Properties=species:S:1:pos:R:3 pbc="T T T"
Ac -0.462 0.000 2.283
Ac 5.340 0.000 3.721
Ac 4.243 0.000 7.785
Ac 12.721 0.000 0.921
Ac 11.623 0.000 4.985
Ac 17.426 0.000 6.423
Ir 2.450 0.000 2.902
Ir 14.513 0.000 5.804
Se 9.643 0.000 0.000
S 1.107 0.000 7.315
S 8.482 0.000 4.353
S 15.857 0.000 1.391
```

**N(E_F)**: 0.39 states/eV/atom
**E_form (uncorrected)**: -1.536 eV per atom
**Space group**: C2/m



Quick rundown of DFT total energy, same order as above: -1.836, -4.581, -4.597, -4.338, -5.585, -4.742, -2.214, -6.328, -4.774, -6.417, -5.629, -6.389 eV per atom